A plane-wave DFT calculation with PBEsol was carried out for a relaxed BaLi2Ag crystal.

Energy of formation ... -0.055 eV/atom

a b c (Å): 4.1942 4.9814 5.8873
angles (deg): 104.94 90.00 114.90
Closest atoms and distances in Å follow each position.
Sites, in units of the cell vectors:
Li 0.3005 0.6009 0.3987  2 Li 2.70, 3 Ag 2.72-2.94
Li 0.6995 0.3991 0.6013  2 Li 2.70, 3 Ag 2.72-2.94
Ba 0.5000 0.0000 0.0000  8 Li 3.34-3.70, 4 Ag 3.61
Ag 0.0000 0.0000 0.5000  6 Li 2.72-2.94

***

A plane-wave DFT calculation with PBEsol was carried out for a relaxed PrZnGa crystal.

Energy of formation ... -0.550 eV/atom

a b c (Å): 4.4377 4.4377 7.5695
angles (deg): 90.00 90.00 120.00
Closest atoms and distances in Å follow each position.
Sites, in units of the cell vectors:
Pr 0.0000 0.0000 0.0000  6 Zn 3.19, 6 Ga 3.19
Pr 0.0000 0.0000 0.5000  6 Zn 3.19, 6 Ga 3.19
Zn 0.3333 0.6667 0.7500  3 Ga 2.56
Zn 0.6667 0.3333 0.2500  3 Ga 2.56
Ga 0.6667 0.3333 0.7500  3 Zn 2.56
Ga 0.3333 0.6667 0.2500  3 Zn 2.56

***

A plane-wave DFT calculation with PBEsol was carried out for a relaxed Si2Pt crystal.

Formation energy from raw total energies ... -0.18 eV/atom

a b c (Å): 2.6443 4.4230 4.4230
angles (deg): 120.00 90.00 90.00
Closest atoms and distances in Å follow each position.
Sites, in units of the cell vectors:
Si 0.0000 0.6667 0.3333  5 Si 2.55-2.64, 3 Pt 2.55
Si 0.0000 0.3333 0.6667  5 Si 2.55-2.64, 3 Pt 2.55
Pt 0.0000 0.0000 0.0000  6 Si 2.55, 2 Pt 2.64

***

A plane-wave DFT calculation with PBEsol was carried out for a relaxed MgTa2Au crystal.

Energy of formation ... 0.029 eV/atom

a b c (Å): 3.3047 4.3232 4.8303
angles (deg): 90.00 90.00 90.00
Closest atoms and distances in Å follow each position.
Sites, in units of the cell vectors:
Mg 0.0000 0.5000 0.5000  4 Au 2.72, 4 Ta 2.93
Ta 0.5000 0.5000 0.0000  4 Ta 2.72, 4 Mg 2.93
Ta 0.0000 0.0000 0.0000  4 Ta 2.72, 4 Au 2.93
Au 0.5000 0.0000 0.5000  4 Mg 2.72, 4 Ta 2.93

***

A plane-wave DFT calculation with PBEsol was carried out for a relaxed TaBe4Mo crystal.

Energy of formation ... -0.255 eV/atom

a b c (Å): 4.5054 4.5054 7.3385
angles (deg): 90.00 90.00 120.00
Closest atoms and distances in Å follow each position.
Sites, in units of the cell vectors:
Be 0.1710 0.3421 0.2534  6 Be 2.19-2.31
Be 0.6579 0.8290 0.2534  6 Be 2.19-2.31
Be 0.0000 0.0000 0.0000  6 Be 2.29
Be 0.3421 0.1710 0.7466  6 Be 2.19-2.31
Be 0.8290 0.1710 0.7466  6 Be 2.19-2.31
Be 0.1710 0.8290 0.2534  6 Be 2.19-2.31
Be 0.0000 0.0000 0.5000  6 Be 2.25
Be 0.8290 0.6579 0.7466  6 Be 2.19-2.31
Ta 0.6667 0.3333 0.0704  12 Be 2.62-2.69, 1 Mo 2.71, 3 Ta 2.80
Ta 0.3333 0.6667 0.9296  12 Be 2.62-2.69, 1 Mo 2.71, 3 Ta 2.80
Mo 0.6667 0.3333 0.4398  12 Be 2.58-2.64, 1 Ta 2.71, 3 Mo 2.75
Mo 0.3333 0.6667 0.5602  12 Be 2.58-2.64, 1 Ta 2.71, 3 Mo 2.75

***

A plane-wave DFT calculation with PBEsol was carried out for a relaxed SrGa2As2 crystal.

Energy of formation ... -0.647 eV/atom

a b c (Å): 4.0395 9.5426 12.4706
angles (deg): 95.63 90.00 90.00
Closest atoms and distances in Å follow each position.
Sites, in units of the cell vectors:
As 0.0000 0.9483 0.7420  3 Ga 2.54
As 0.0000 0.0517 0.2580  3 Ga 2.54
As 0.5000 0.7399 0.9670  3 Ga 2.53-2.54
As 0.5000 0.7570 0.4748  3 Ga 2.50-2.52
As 0.0000 0.4483 0.7547  3 Ga 2.50-2.52
As 0.5000 0.2601 0.0330  3 Ga 2.53-2.54
As 0.5000 0.2430 0.5252  3 Ga 2.50-2.52
As 0.0000 0.5517 0.2453  3 Ga 2.50-2.52
Ga 0.5000 0.3942 0.2188  1 Ga 2.41, 3 As 2.52-2.53
Ga 0.0000 0.3998 0.5538  1 Ga 2.44, 3 As 2.50-2.52
Ga 0.5000 0.8039 0.6755  1 Ga 2.41, 3 As 2.50-2.54
Ga 0.0000 0.1080 0.0632  1 Ga 2.47, 3 As 2.54
Ga 0.5000 0.1961 0.3245  1 Ga 2.41, 3 As 2.50-2.54
Ga 0.0000 0.8920 0.9368  1 Ga 2.47, 3 As 2.54
Ga 0.0000 0.6002 0.4462  1 Ga 2.44, 3 As 2.50-2.52
Ga 0.5000 0.6058 0.7812  1 Ga 2.41, 3 As 2.52-2.53
Sr 0.0000 0.0000 0.5000  6 As 3.07-3.10
Sr 0.0000 0.5000 0.0000  6 As 3.05-3.11
Sr 0.5000 0.8000 0.2238  6 As 3.14-3.20
Sr 0.5000 0.2000 0.7762  6 As 3.14-3.20

***

A plane-wave DFT calculation with PBEsol was carried out for a relaxed LaPdSe2 crystal.

Formation energy from raw total energies ... -0.96 eV/atom

a b c (Å): 5.2471 5.2471 8.5515
angles (deg): 107.87 107.87 90.00
Closest atoms and distances in Å follow each position.
Sites, in units of the cell vectors:
Pd 0.5000 0.5000 0.0000  4 Se 2.52
Pd 0.7500 0.2500 0.5000  4 Se 2.52
Se 0.8079 0.3750 0.2500  2 Pd 2.52
Se 0.4421 0.8750 0.2500  2 Pd 2.52
Se 0.1250 0.1921 0.7500  2 Pd 2.52
Se 0.6250 0.5579 0.7500  2 Pd 2.52
La 0.0000 0.0000 0.0000  4 Se 2.86
La 0.2500 0.7500 0.5000  4 Se 2.86

***

A plane-wave DFT calculation with PBEsol was carried out for a relaxed Ta2NbInSe crystal.

Formation energy from raw total energies ... 0.73 eV/atom

a b c (Å): 4.6977 4.6977 4.7189
angles (deg): 90.00 90.00 90.00
Closest atoms and distances in Å follow each position.
Sites, in units of the cell vectors:
Se 0.0000 0.0000 0.0000  4 Ta 2.35, 2 Nb 2.36
Ta 0.5000 0.0000 0.0000  2 Se 2.35
Ta 0.0000 0.5000 0.0000  2 Se 2.35
Nb 0.0000 0.0000 0.5000  2 Se 2.36
In 0.5000 0.5000 0.5000  4 Nb 3.32, 8 Ta 3.33

***

A plane-wave DFT calculation with PBEsol was carried out for a relaxed Pt2PbCl crystal.

Formation energy from raw total energies ... 0.09 eV/atom

a b c (Å): 3.5392 3.5392 6.9929
angles (deg): 90.00 90.00 90.00
Closest atoms and distances in Å follow each position.
Sites, in units of the cell vectors:
Pb 0.5000 0.5000 0.7587  1 Pt 2.76, 4 Cl 3.01
Pt 0.0000 0.0000 0.0690  4 Pt 2.57
Pt 0.5000 0.5000 0.1534  4 Pt 2.57, 1 Pb 2.76
Cl 0.0000 0.0000 0.5189  4 Pb 3.01, 1 Pt 3.15

***

A plane-wave DFT calculation with PBEsol was carried out for a relaxed PbCl2 crystal.

Formation energy from raw total energies ... -1.13 eV/atom

a b c (Å): 4.4824 7.4962 9.0350
angles (deg): 90.00 90.00 90.00
Closest atoms and distances in Å follow each position.
Sites, in units of the cell vectors:
Cl 0.2500 0.0171 0.8394  3 Pb 2.84-3.00
Cl 0.7500 0.3581 0.9213  4 Pb 2.88-3.04
Cl 0.7500 0.9829 0.1606  3 Pb 2.84-3.00
Cl 0.2500 0.1419 0.4213  4 Pb 2.88-3.04
Cl 0.7500 0.4829 0.3394  3 Pb 2.84-3.00
Cl 0.2500 0.5171 0.6606  3 Pb 2.84-3.00
Cl 0.2500 0.6419 0.0787  4 Pb 2.88-3.04
Cl 0.7500 0.8581 0.5787  4 Pb 2.88-3.04
Pb 0.2500 0.2373 0.0948  7 Cl 2.84-3.04
Pb 0.7500 0.2627 0.5948  7 Cl 2.84-3.04
Pb 0.7500 0.7627 0.9052  7 Cl 2.84-3.04
Pb 0.2500 0.7373 0.4052  7 Cl 2.84-3.04

***

A plane-wave DFT calculation with PBEsol was carried out for a relaxed DyCuSi crystal.

Formation energy from raw total energies ... -0.68 eV/atom

a b c (Å): 3.6938 4.0823 4.0823
angles (deg): 120.00 90.00 90.00
Closest atoms and distances in Å follow each position.
Sites, in units of the cell vectors:
Si 0.5000 0.3333 0.6667  3 Cu 2.36
Dy 0.0000 0.0000 0.0000  6 Cu 2.99, 6 Si 2.99
Cu 0.5000 0.6667 0.3333  3 Si 2.36

***

A plane-wave DFT calculation with PBEsol was carried out for a relaxed TiNiSb crystal.

Formation energy from raw total energies ... -0.54 eV/atom

a b c (Å): 4.1514 4.1514 4.1514
angles (deg): 60.00 60.00 60.00
Closest atoms and distances in Å follow each position.
Sites, in units of the cell vectors:
Ni 0.0000 0.0000 0.0000  4 Sb 2.54, 4 Ti 2.54
Sb 0.7500 0.7500 0.7500  4 Ni 2.54
Ti 0.2500 0.2500 0.2500  4 Ni 2.54

***

A plane-wave DFT calculation with PBEsol was carried out for a relaxed CoTcBr2 crystal.

Formation energy from raw total energies ... 0.92 eV/atom

a b c (Å): 3.0324 5.1194 5.1194
angles (deg): 66.27 72.77 72.77
Closest atoms and distances in Å follow each position.
Sites, in units of the cell vectors:
Tc 0.5000 0.0000 0.0000  4 Br 2.56
Br 0.2571 0.7429 0.7429  2 Co 2.47, 2 Tc 2.56
Br 0.7429 0.2571 0.2571  2 Co 2.47, 2 Tc 2.56
Co 0.0000 0.5000 0.5000  4 Br 2.47

***

A plane-wave DFT calculation with PBEsol was carried out for a relaxed LaIr2 crystal.

Energy of formation ... -0.702 eV/atom

a b c (Å): 5.3984 5.3984 5.3984
angles (deg): 60.00 60.00 60.00
Closest atoms and distances in Å follow each position.
Sites, in units of the cell vectors:
Ir 0.6250 0.6250 0.6250  6 Ir 2.70
Ir 0.6250 0.6250 0.1250  6 Ir 2.70
Ir 0.6250 0.1250 0.6250  6 Ir 2.70
Ir 0.1250 0.6250 0.6250  6 Ir 2.70
La 0.0000 0.0000 0.0000  12 Ir 3.17, 4 La 3.31
La 0.2500 0.2500 0.2500  12 Ir 3.17, 4 La 3.31

***

A plane-wave DFT calculation with PBEsol was carried out for a relaxed AgSb3Se crystal.

Formation energy from raw total energies ... 0.76 eV/atom

a b c (Å): 5.2353 5.2353 5.2353
angles (deg): 90.00 90.00 90.00
Closest atoms and distances in Å follow each position.
Sites, in units of the cell vectors:
Se 0.5000 0.5000 0.5000  12 Sb 3.70
Sb 0.5000 0.0000 0.0000  2 Ag 2.62
Sb 0.0000 0.5000 0.0000  2 Ag 2.62
Sb 0.0000 0.0000 0.5000  2 Ag 2.62
Ag 0.0000 0.0000 0.0000  6 Sb 2.62

***

A plane-wave DFT calculation with PBEsol was carried out for a relaxed CoPW2 crystal.

Energy of formation ... -0.041 eV/atom

a b c (Å): 3.1325 3.1325 5.4286
angles (deg): 90.00 90.00 90.00
Closest atoms and distances in Å follow each position.
Sites, in units of the cell vectors:
W 0.0000 0.0000 0.9693  4 P 2.52, 1 Co 2.60
W 0.5000 0.5000 0.2916  4 Co 2.46, 1 P 2.48
Co 0.0000 0.0000 0.4904  5 W 2.46-2.60, 4 P 2.62
P 0.5000 0.5000 0.7486  5 W 2.48-2.52, 4 Co 2.62

***

A plane-wave DFT calculation with PBEsol was carried out for a relaxed La5Ti5O17 crystal.

Formation energy from raw total energies ... -3.37 eV/atom

a b c (Å): 3.9363 5.4719 31.1265
angles (deg): 90.00 90.00 90.00
Closest atoms and distances in Å follow each position.
Sites, in units of the cell vectors:
O 0.0000 0.2521 0.0337  2 Ti 1.99
O 0.5000 0.5499 0.1712  2 Ti 1.95-2.11
O 0.0000 0.0565 0.9173  1 Ti 1.82
O 0.0000 0.5679 0.9298  1 Ti 1.90
O 0.5000 0.0454 0.1537  2 Ti 1.96-2.02
O 0.5000 0.7479 0.5337  2 Ti 1.99
O 0.5000 0.9667 0.0685  1 Ti 1.83
O 0.0000 0.7443 0.1220  2 Ti 1.99
O 0.5000 0.9435 0.4173  1 Ti 1.82
O 0.0000 0.9418 0.8254  2 Ti 1.92-1.97
O 0.0000 0.0333 0.5685  1 Ti 1.83
O 0.5000 0.0688 0.9808  1 Ti 1.90
O 0.0000 0.2490 0.3768  2 Ti 1.99
O 0.0000 0.5436 0.7569  2 Ti 1.96-2.02
O 0.5000 0.2427 0.7886  2 Ti 1.99
O 0.0000 0.9546 0.6537  2 Ti 1.96-2.02
O 0.0000 0.4424 0.4933  1 Ti 1.82
O 0.5000 0.5576 0.9933  1 Ti 1.82
O 0.5000 0.4564 0.2569  2 Ti 1.96-2.02
O 0.0000 0.4501 0.6712  2 Ti 1.95-2.11
O 0.0000 0.9312 0.4808  1 Ti 1.90
O 0.5000 0.4321 0.4298  1 Ti 1.90
O 0.5000 0.2557 0.6220  2 Ti 1.99
O 0.0000 0.5566 0.5851  2 Ti 1.92-1.97
O 0.0000 0.4648 0.8422  1 Ti 1.83
O 0.0000 0.7573 0.2886  2 Ti 1.99
O 0.5000 0.7510 0.8768  2 Ti 1.99
O 0.5000 0.5352 0.3422  1 Ti 1.83
O 0.5000 0.7491 0.7053  2 Ti 1.97
O 0.0000 0.0479 0.7395  2 Ti 1.95-2.11
O 0.5000 0.9521 0.2395  2 Ti 1.95-2.11
O 0.5000 0.4434 0.0851  2 Ti 1.92-1.97
O 0.0000 0.2509 0.2053  2 Ti 1.97
O 0.5000 0.0582 0.3254  2 Ti 1.92-1.97
Ti 0.5000 0.7472 0.2968  5 O 1.83-2.02
Ti 0.0000 0.7103 0.5278  5 O 1.82-1.99
Ti 0.0000 0.2458 0.6139  5 O 1.83-2.02
Ti 0.0000 0.7885 0.8828  5 O 1.82-1.99
Ti 0.5000 0.2115 0.3828  5 O 1.82-1.99
Ti 0.0000 0.7491 0.7053  6 O 1.95-1.97
Ti 0.5000 0.2509 0.2053  6 O 1.95-1.97
Ti 0.0000 0.2528 0.7968  5 O 1.83-2.02
Ti 0.5000 0.7542 0.1139  5 O 1.83-2.02
Ti 0.5000 0.2897 0.0278  5 O 1.82-1.99
La 0.0000 0.6706 0.4187  7 O 2.39-2.65
La 0.5000 0.2491 0.7053  8 O 2.49-2.74
La 0.0000 0.7509 0.2053  8 O 2.49-2.74
La 0.0000 0.2674 0.2977  6 O 2.43-2.70
La 0.0000 0.8300 0.9917  7 O 2.39-2.65
La 0.0000 0.2336 0.1128  6 O 2.44-2.69
La 0.5000 0.3294 0.9187  7 O 2.39-2.65
La 0.5000 0.7664 0.6128  6 O 2.44-2.69
La 0.5000 0.1700 0.4917  7 O 2.39-2.65
La 0.5000 0.7326 0.7977  6 O 2.43-2.70

***

A plane-wave DFT calculation with PBEsol was carried out for a relaxed ZnCd2Os crystal.

Energy of formation ... 0.393 eV/atom

a b c (Å): 3.1851 4.4996 5.3844
angles (deg): 114.70 107.20 90.00
Closest atoms and distances in Å follow each position.
Sites, in units of the cell vectors:
Os 0.5179 0.5179 0.0357  2 Zn 2.54, 4 Cd 2.77
Cd 0.7620 0.2620 0.5240  4 Zn 2.77, 2 Os 2.85, 4 Cd 2.99-3.07
Cd 0.9884 0.9884 0.9769  4 Os 2.77, 2 Zn 2.86, 4 Cd 2.99-3.07
Zn 0.2317 0.7317 0.4634  2 Os 2.54, 4 Cd 2.77

***

A plane-wave DFT calculation with PBEsol was carried out for a relaxed LaCdP3 crystal.

Energy of formation ... 0.170 eV/atom

a b c (Å): 4.8663 4.8663 4.8663
angles (deg): 90.00 90.00 90.00
Closest atoms and distances in Å follow each position.
Sites, in units of the cell vectors:
P 0.0000 0.5000 0.0000  2 Cd 2.43
P 0.5000 0.0000 0.0000  2 Cd 2.43
P 0.0000 0.0000 0.5000  2 Cd 2.43
Cd 0.0000 0.0000 0.0000  6 P 2.43
La 0.5000 0.5000 0.5000  12 P 3.44

***

A plane-wave DFT calculation with PBEsol was carried out for a relaxed Nb3TlNi crystal.

Energy of formation ... 2.525 eV/atom

a b c (Å): 5.0154 5.0154 5.0154
angles (deg): 90.00 90.00 90.00
Closest atoms and distances in Å follow each position.
Sites, in units of the cell vectors:
Nb 0.5000 0.0000 0.0000  2 Tl 2.51
Nb 0.0000 0.5000 0.0000  2 Tl 2.51
Nb 0.0000 0.0000 0.5000  2 Tl 2.51
Tl 0.0000 0.0000 0.0000  6 Nb 2.51
Ni 0.5000 0.5000 0.5000  12 Nb 3.55

***

no.,mass density (g/cm³),calculated volume (Å³ per cell),uncorrected energy (eV per atom)
1,4.0,107,-2.4029
2,7.1,129,-3.9189
3,9.3,45,-6.3336
4,14.0,69,-7.6566
5,8.1,129,-6.9748
6,5.2,478,-4.3931
7,6.3,212,-5.7158
8,10.3,104,-7.8259
9,12.0,88,-4.8937
10,6.1,304,-3.8015
11,7.9,53,-5.6993
12,7.5,51,-6.8813
13,7.7,68,-4.7669
14,15.6,111,-9.0331
15,6.4,143,-3.4088
16,14.3,53,-10.3270
17,6.0,670,-9.2025
18,12.0,66,-3.6555
19,5.0,115,-4.6132
20,7.1,126,-5.7253